Compound: Y3Al9Rh2
Source: the Alexandria database
Functional: GGA-PBE
Structure: relaxed

Results
The calculation puts the total energy at -5.52 eV/atom. Its formation energy is -0.68 eV per atom.

Unit cell a=4.3089 b=9.6977 c=12.3745 alpha=90.00 beta=90.00 gamma=90.00
With the nearest neighbours (Å) after each atom.
Space group Immm (No. 71)
Asymmetric unit:
Y 0.0000 0.0000 0.0000 [2 per cell]  12 Al 3.15-3.18
Y 0.0000 0.0000 0.2960 [4 per cell]  2 Rh 3.06, 10 Al 3.11-3.32
Al 0.0000 0.2836 0.1297 [8 per cell]  4 Al 2.59-2.82, 2 Rh 2.71
Al 0.0000 0.3617 0.3495 [8 per cell]  1 Rh 2.57, 4 Al 2.59-2.82
Al 0.0000 0.5000 0.0000 [2 per cell]  4 Al 2.64, 4 Rh 2.77
Rh 0.0000 0.1788 0.5000 [4 per cell]  8 Al 2.57-2.77